Cs2TlVO4 | PBE with a Hubbard U | optimized geometry

The structure in POSCAR format:
```
Cs2TlVO4
1.0
6.299 0.000 0.000
0.000 8.885 0.000
0.000 0.000 6.842
Cs Tl V O
4 2 2 8
direct
0.250 0.009 0.239 Cs
0.250 0.491 0.239 Cs
0.750 0.509 0.761 Cs
0.750 0.991 0.761 Cs
0.250 0.250 0.731 Tl
0.750 0.750 0.269 Tl
0.250 0.750 0.670 V
0.750 0.250 0.330 V
0.020 0.750 0.521 O
0.250 0.588 0.813 O
0.250 0.912 0.813 O
0.480 0.750 0.521 O
0.520 0.250 0.479 O
0.750 0.088 0.187 O
0.750 0.412 0.187 O
0.980 0.250 0.479 O
```

Volume (Å³ per cell): 382.94
DFT total energy (eV per atom): -5.6648
Total moment (μB/f.u.): 0.00